(1)
# BaYHfTa2 (PBE-GGA, relaxed)
# Density (kg/m3): 9171
# Electronic total energy (eV per cell): -31.45
# Space-group type: No. 123
# Spin magnetization (μB per formula unit): 0.000
# E_form (eV/atom): 2.119
data_BaYHfTa2
_chemical_formula_sum 'Ba1 Y1 Hf1 Ta2'
_cell_length_a 5.151
_cell_length_b 5.151
_cell_length_c 5.233
_cell_angle_alpha 90.00
_cell_angle_beta 90.00
_cell_angle_gamma 90.00
_space_group_name_H-M_alt 'P 1'
_space_group_IT_number 1
_space_group_name_Hall 'P 1'
loop_
_atom_site_label
_atom_site_fract_x
_atom_site_fract_y
_atom_site_fract_z
Ba1 0.000 0.000 0.000
Y1 0.500 0.500 0.500
Hf1 0.000 0.000 0.500
Ta1 0.000 0.500 0.000
Ta2 0.500 0.000 0.000


(2)
# YMoAu2 (PBE-GGA, relaxed)
# Density (kg/m3): 12244
# Electronic total energy (eV per cell): -24.13
# ΔE to the lowest computed polymorph (eV per atom): 0.020
# Space-group type: No. 6
# Spin magnetization (μB per formula unit): 0.729
# E_form (eV/atom): -0.070
data_YMoAu2
_chemical_formula_sum 'Y1 Mo1 Au2'
_cell_length_a 3.244
_cell_length_b 4.771
_cell_length_c 5.075
_cell_angle_alpha 90.00
_cell_angle_beta 92.24
_cell_angle_gamma 90.00
_space_group_name_H-M_alt 'P 1'
_space_group_IT_number 1
_space_group_name_Hall 'P 1'
loop_
_atom_site_label
_atom_site_fract_x
_atom_site_fract_y
_atom_site_fract_z
Y1 0.000 0.000 0.000
Mo1 0.070 0.500 0.601
Au1 0.504 0.000 0.504
Au2 0.514 0.500 0.139


(3)
# ZnGe2Pd4 (PBE-GGA, relaxed)
# Density (kg/m3): 9261
# Electronic total energy (eV per cell): -67.57
# Space-group type: No. 63
# Spin magnetization (μB per formula unit): 0.000
# E_form (eV/atom): -0.358
data_ZnGe2Pd4
_chemical_formula_sum 'Zn2 Ge4 Pd8'
_cell_length_a 6.329
_cell_length_b 6.329
_cell_length_c 9.070
_cell_angle_alpha 90.00
_cell_angle_beta 90.00
_cell_angle_gamma 141.08
_space_group_name_H-M_alt 'P 1'
_space_group_IT_number 1
_space_group_name_Hall 'P 1'
loop_
_atom_site_label
_atom_site_fract_x
_atom_site_fract_y
_atom_site_fract_z
Zn1 0.179 0.821 0.750
Zn2 0.821 0.179 0.250
Ge1 0.389 0.611 0.583
Ge2 0.389 0.611 0.917
Ge3 0.611 0.389 0.083
Ge4 0.611 0.389 0.417
Pd1 0.000 0.000 0.000
Pd2 0.000 0.000 0.500
Pd3 0.228 0.772 0.100
Pd4 0.228 0.772 0.400
Pd5 0.444 0.556 0.250
Pd6 0.556 0.444 0.750
Pd7 0.772 0.228 0.600
Pd8 0.772 0.228 0.900


(4)
# BeMoSe (PBE-GGA, relaxed)
# Density (kg/m3): 6165
# Formation energy (no corrections) (eV per atom): 0.64
# Electronic total energy (eV per cell): -16.13
# ΔE to the lowest computed polymorph (eV per atom): 0.655
# Space-group type: No. 216
# Spin magnetization (μB per formula unit): 0.001
data_BeMoSe
_chemical_formula_sum 'Be1 Mo1 Se1'
_cell_length_a 4.122
_cell_length_b 4.122
_cell_length_c 4.122
_cell_angle_alpha 60.00
_cell_angle_beta 60.00
_cell_angle_gamma 60.00
_space_group_name_H-M_alt 'P 1'
_space_group_IT_number 1
_space_group_name_Hall 'P 1'
loop_
_atom_site_label
_atom_site_fract_x
_atom_site_fract_y
_atom_site_fract_z
Be1 0.000 0.000 0.000
Mo1 0.750 0.750 0.750
Se1 0.500 0.500 0.500


(5)
# AcTlPd3Au (PBE-GGA, relaxed)
# Density (kg/m3): 11273
# Electronic total energy (eV per cell): -55.37
# Space-group type: No. 63
# Spin magnetization (μB per formula unit): 0.000
# E_form (eV/atom): -0.392
data_AcTlPd3Au
_chemical_formula_sum 'Ac2 Tl2 Pd6 Au2'
_cell_length_a 6.923
_cell_length_b 6.923
_cell_length_c 7.476
_cell_angle_alpha 90.00
_cell_angle_beta 90.00
_cell_angle_gamma 128.82
_space_group_name_H-M_alt 'P 1'
_space_group_IT_number 1
_space_group_name_Hall 'P 1'
loop_
_atom_site_label
_atom_site_fract_x
_atom_site_fract_y
_atom_site_fract_z
Ac1 0.163 0.837 0.750
Ac2 0.837 0.163 0.250
Tl1 0.140 0.860 0.250
Tl2 0.860 0.140 0.750
Pd1 0.239 0.239 0.000
Pd2 0.239 0.239 0.500
Pd3 0.363 0.637 0.250
Pd4 0.637 0.363 0.750
Pd5 0.761 0.761 0.000
Pd6 0.761 0.761 0.500
Au1 0.404 0.596 0.750
Au2 0.596 0.404 0.250


(6)
# MgV (PBE-GGA, relaxed)
# Density (kg/m3): 3182
# Electronic total energy (eV per cell): -8.25
# Space-group type: No. 225
# Spin magnetization (μB per formula unit): 2.065
# E_form (eV/atom): 1.230
data_MgV
_chemical_formula_sum 'Mg1 V1'
_cell_length_a 3.815
_cell_length_b 3.815
_cell_length_c 3.815
_cell_angle_alpha 60.00
_cell_angle_beta 60.00
_cell_angle_gamma 60.00
_space_group_name_H-M_alt 'P 1'
_space_group_IT_number 1
_space_group_name_Hall 'P 1'
loop_
_atom_site_label
_atom_site_fract_x
_atom_site_fract_y
_atom_site_fract_z
Mg1 0.000 0.000 0.000
V1 0.500 0.500 0.500